Computed, not measured: a relaxed structure of Li9Fe4Si4O20 at the GGA+U level of DFT.

Properties
Spin magnetization   22.85 μB/cell
Total energy   -6.35 eV per atom
Volume   12.2 A^3/atom

CIF file:
```
data_Li9Fe4Si4O20
_chemical_formula_sum 'Li9 Fe4 Si4 O20'
_symmetry_space_group_name_H-M 'P 1'
_symmetry_Int_Tables_number 1
_cell_length_a 5.026
_cell_length_b 5.599
_cell_length_c 16.086
_cell_angle_alpha 90.77
_cell_angle_beta 89.92
_cell_angle_gamma 89.99
loop_
_symmetry_equiv_pos_as_xyz
'x,y,z'
loop_
_atom_site_label
_atom_site_type_symbol
_atom_site_fract_x
_atom_site_fract_y
_atom_site_fract_z
_atom_site_occupancy
O1 O 0.122 0.249 0.505 1
O2 O 0.105 0.181 0.295 1
O3 O 0.106 0.672 0.983 1
Fe1 Fe 0.503 0.648 0.800 1
Si1 Si 0.503 0.177 0.097 1
Li1 Li 0.997 0.364 0.400 1
O4 O 0.110 0.094 0.922 1
O5 O 0.674 0.806 0.894 1
O6 O 0.629 0.270 0.187 1
O7 O 0.037 0.682 0.198 1
Si2 Si 0.495 0.686 0.403 1
O8 O 0.138 0.112 0.666 1
O9 O 0.548 0.316 0.797 1
Li2 Li 0.999 0.336 0.000 1
O10 O 0.684 0.295 0.605 1
Si3 Si 0.004 0.822 0.903 1
Li3 Li 0.511 0.180 0.493 1
O11 O 0.173 0.193 0.105 1
Si4 Si 0.014 0.302 0.600 1
Fe2 Fe 0.993 0.857 0.298 1
Li4 Li 0.503 0.198 0.305 1
Li5 Li 0.003 0.803 0.699 1
O12 O 0.609 0.906 0.078 1
Fe3 Fe 0.000 0.350 0.198 1
Fe4 Fe 0.506 0.141 0.698 1
O13 O 0.612 0.415 0.400 1
O14 O 0.133 0.726 0.814 1
O15 O 0.136 0.565 0.622 1
Li6 Li 0.000 0.845 0.091 1
Li7 Li 0.509 0.645 0.599 1
O16 O 0.606 0.327 0.017 1
O17 O 0.614 0.816 0.705 1
O18 O 0.520 0.819 0.495 1
O19 O 0.635 0.868 0.335 1
Li8 Li 0.499 0.663 0.000 1
O20 O 0.174 0.675 0.380 1
Li9 Li 0.502 0.155 0.906 1
```